DFT (PBE) results for a relaxed SrV2Cl crystal.

Properties
Spin magnetization = 2.369 μB per atom
Raw formation energy = 1062 meV per atom
Electronic total energy = -17.52 eV per cell

a b c (Å): 5.2981 5.2981 5.2981
angles (deg): 60.00 60.00 60.00
Fractional positions:
Sr  0.5000  0.5000  0.5000
V  0.2500  0.2500  0.2500
V  0.7500  0.7500  0.7500
Cl  0.0000  0.0000  0.0000


DFT (PBE) results for a relaxed Ac2Ga5Pd3 crystal.

Properties
ΔH_f (0 K) = -769 meV per atom
Spin magnetization = 0.000 μB per atom
Electronic total energy = -93.23 eV per cell

a b c (Å): 6.0490 8.9263 8.9263
angles (deg): 73.19 70.19 70.19
Fractional positions:
Ac  0.1329  0.5953  0.1388
Ac  0.6329  0.1388  0.5953
Ac  0.8671  0.4047  0.8612
Ac  0.3671  0.8612  0.4047
Ga  0.3966  0.2555  0.9514
Ga  0.8966  0.9514  0.2555
Ga  0.6034  0.7445  0.0486
Ga  0.1034  0.0486  0.7445
Ga  0.4685  0.7815  0.7815
Ga  0.5315  0.2185  0.2185
Ga  0.7500  0.5000  0.5000
Ga  0.2500  0.5000  0.5000
Ga  0.0315  0.2185  0.2185
Ga  0.9685  0.7815  0.7815
Pd  0.3607  0.5335  0.7451
Pd  0.8607  0.7451  0.5335
Pd  0.6393  0.4665  0.2549
Pd  0.1393  0.2549  0.4665
Pd  0.2500  0.0000  0.0000
Pd  0.7500  0.0000  0.0000


DFT (PBE) results for a relaxed AsPAu2 crystal.

Properties
ΔH_f (0 K) = 188 meV per atom
Spin magnetization = 0.000 μB per atom
Electronic total energy = -15.86 eV per cell

a b c (Å): 3.7365 3.7365 6.5521
angles (deg): 73.00 73.00 61.48
Fractional positions:
As  0.2500  0.2500  0.2500
Au  0.0061  0.0061  0.9819
Au  0.4939  0.4939  0.5181
P  0.7500  0.7500  0.7500


DFT (PBE) results for a relaxed YAl4Pd2Rh crystal.

Properties
ΔH_f (0 K) = -803 meV per atom
Spin magnetization = 0.000 μB per atom
Electronic total energy = -45.60 eV per cell

a b c (Å): 4.2582 4.2582 9.1002
angles (deg): 76.47 76.47 60.00
Fractional positions:
Y  0.0000  0.0000  0.0000
Al  0.4031  0.4031  0.7906
Al  0.8658  0.8658  0.4025
Al  0.1342  0.1342  0.5975
Al  0.5969  0.5969  0.2094
Pd  0.7637  0.7637  0.7088
Pd  0.2363  0.2363  0.2912
Rh  0.5000  0.5000  0.5000